1.
Density functional theory data (PBE) for crystalline Ac2Pr4Dy at its relaxed geometry.

Computed properties:
The space-group type is C2/m (12). The value obtained for the formation energy is 0.033 eV per atom. The calculation puts the total energy at -4.529 eV/atom. Its total magnetic moment is 0.0 Bohr magnetons per cell.

Lattice parameters (Å, degrees): 6.4855 6.4855 8.4727 97.72 97.72 48.87
With the nearest neighbours (Å) after each atom.
Fractional positions:
Ac1 0.2122 0.2122 0.1445  7 Pr 3.75-3.82, 3 Dy 3.75-3.78, 2 Ac 3.83
Ac2 0.7878 0.7878 0.8555  7 Pr 3.75-3.82, 3 Dy 3.75-3.78, 2 Ac 3.83
Pr1 0.0721 0.0721 0.7086  6 Pr 3.69-3.76, 4 Ac 3.75-3.82, 2 Dy 3.83
Pr2 0.3590 0.3590 0.5740  8 Pr 3.73-3.80, 1 Dy 3.75, 3 Ac 3.77-3.79
Pr3 0.6410 0.6410 0.4260  8 Pr 3.73-3.80, 1 Dy 3.75, 3 Ac 3.77-3.79
Pr4 0.9279 0.9279 0.2914  6 Pr 3.69-3.76, 4 Ac 3.75-3.82, 2 Dy 3.83
Dy1 0.5000 0.5000 0.0000  6 Pr 3.75-3.83, 6 Ac 3.75-3.78

2.
Density functional theory data (PBE) for crystalline AcMgPd4Pb2 at its relaxed geometry.

Computed properties:
The space-group type is R-3m (166). The value obtained for the formation energy is -0.543 eV per atom. The calculation puts the total energy at -4.780 eV/atom. Its total magnetic moment is 0.0 Bohr magnetons per cell.

Lattice parameters (Å, degrees): 9.4526 9.4526 9.4526 28.74 28.74 28.74
With the nearest neighbours (Å) after each atom.
Fractional positions:
Ac1 0.0000 0.0000 0.0000  6 Pd 3.25
Mg1 0.5000 0.5000 0.5000  8 Pd 2.73-2.84
Pd1 0.1352 0.1352 0.1352  3 Mg 2.84, 4 Pb 2.86-2.94
Pd2 0.3997 0.3997 0.3997  1 Mg 2.73, 3 Pb 2.80
Pd3 0.6003 0.6003 0.6003  1 Mg 2.73, 3 Pb 2.80
Pd4 0.8648 0.8648 0.8648  3 Mg 2.84, 4 Pb 2.86-2.94
Pb1 0.2406 0.2406 0.2406  7 Pd 2.80-2.94
Pb2 0.7594 0.7594 0.7594  7 Pd 2.80-2.94

3.
Density functional theory data (PBE) for crystalline SbMo3C at its relaxed geometry.

Computed properties:
The space-group type is Pm-3m (221). The calculation puts the total energy at -8.962 eV/atom. Its total magnetic moment is 0.0 Bohr magnetons per cell.

Lattice parameters (Å, degrees): 4.2196 4.2196 4.2196 90.00 90.00 90.00
With the nearest neighbours (Å) after each atom.
Fractional positions:
Sb1 0.0000 0.0000 0.0000  12 Mo 2.98
Mo1 0.0000 0.5000 0.5000  2 C 2.11
Mo2 0.5000 0.0000 0.5000  2 C 2.11
Mo3 0.5000 0.5000 0.0000  2 C 2.11
C1 0.5000 0.5000 0.5000  6 Mo 2.11

4.
Density functional theory data (PBE) for crystalline Hf2TlCl8 at its relaxed geometry.

Computed properties:
The space-group type is C2/m (12). The calculation puts the total energy at -4.886 eV/atom. Its total magnetic moment is 1.0 Bohr magnetons per cell.

Lattice parameters (Å, degrees): 8.1368 8.1368 7.1365 92.12 92.12 83.45
With the nearest neighbours (Å) after each atom.
Fractional positions:
Hf1 0.1910 0.1910 0.3629  4 Cl 2.30-2.36
Hf2 0.8090 0.8090 0.6371  4 Cl 2.30-2.36
Tl1 0.0000 0.0000 0.0000  6 Cl 3.36-3.37, 2 Hf 3.39
Cl1 0.0848 0.6888 0.6833  1 Hf 2.36
Cl2 0.2022 0.2022 0.6930  1 Hf 2.35
Cl3 0.3112 0.9152 0.3167  1 Hf 2.36
Cl4 0.3625 0.3625 0.2386  1 Hf 2.30
Cl5 0.6375 0.6375 0.7614  1 Hf 2.30
Cl6 0.6888 0.0848 0.6833  1 Hf 2.36
Cl7 0.7978 0.7978 0.3070  1 Hf 2.35
Cl8 0.9152 0.3112 0.3167  1 Hf 2.36

5.
Density functional theory data (PBE) for crystalline ReAg at its relaxed geometry.

Computed properties:
The space-group type is P6_3/mmc (194). The value obtained for the formation energy is 2.161 eV per atom. The calculation puts the total energy at -5.489 eV/atom. Its total magnetic moment is 1.1 Bohr magnetons per cell.

Lattice parameters (Å, degrees): 4.0574 4.0574 5.2724 90.00 90.00 120.00
With the nearest neighbours (Å) after each atom.
Fractional positions:
Re1 0.3333 0.6667 0.2500  6 Ag 2.69
Re2 0.6667 0.3333 0.7500  6 Ag 2.69
Ag1 0.0000 0.0000 0.0000  2 Ag 2.64, 6 Re 2.69
Ag2 0.0000 0.0000 0.5000  2 Ag 2.64, 6 Re 2.69

6.
Density functional theory data (PBE) for crystalline La4SmEr10 at its relaxed geometry.

Computed properties:
The space-group type is I4/m (87). The value obtained for the formation energy is 0.359 eV per atom. The calculation puts the total energy at -4.312 eV/atom. Its total magnetic moment is 0.0 Bohr magnetons per cell.

Lattice parameters (Å, degrees): 8.7199 8.7199 8.7199 112.21 112.21 104.11
With the nearest neighbours (Å) after each atom.
Fractional positions:
La1 0.0661 0.6643 0.7303  4 Er 3.19-3.57, 1 Sm 3.33, 1 La 3.44
La2 0.3357 0.0661 0.4018  4 Er 3.19-3.57, 1 Sm 3.33, 1 La 3.44
La3 0.6643 0.9339 0.5982  4 Er 3.19-3.57, 1 Sm 3.33, 1 La 3.44
La4 0.9339 0.3357 0.2697  4 Er 3.19-3.57, 1 Sm 3.33, 1 La 3.44
Sm1 0.0000 0.0000 0.0000  4 La 3.33
Er1 0.1320 0.2258 0.6764  5 Er 3.20-3.42, 1 La 3.57
Er2 0.2258 0.5494 0.0938  5 Er 3.20-3.42, 1 La 3.57
Er3 0.2500 0.7500 0.5000  4 La 3.19, 4 Er 3.20
Er4 0.4506 0.5445 0.6764  5 Er 3.20-3.42, 1 La 3.57
Er5 0.4555 0.1320 0.9062  5 Er 3.20-3.42, 1 La 3.57
Er6 0.5445 0.8680 0.0938  5 Er 3.20-3.42, 1 La 3.57
Er7 0.5494 0.4555 0.3236  5 Er 3.20-3.42, 1 La 3.57
Er8 0.7500 0.2500 0.5000  4 La 3.19, 4 Er 3.20
Er9 0.7742 0.4506 0.9062  5 Er 3.20-3.42, 1 La 3.57
Er10 0.8680 0.7742 0.3236  5 Er 3.20-3.42, 1 La 3.57

7.
Density functional theory data (PBE) for crystalline Mg2VB10 at its relaxed geometry.

Computed properties:
The space-group type is Pbam (55). The value obtained for the formation energy is 0.057 eV per atom. The calculation puts the total energy at -6.026 eV/atom. Its total magnetic moment is 3.2 Bohr magnetons per cell.

Lattice parameters (Å, degrees): 4.9183 12.4743 4.1808 90.00 90.00 90.00
With the nearest neighbours (Å) after each atom.
Fractional positions:
Mg1 0.2279 0.1590 0.0000  14 B 2.58-2.83
Mg2 0.2721 0.6590 0.0000  14 B 2.58-2.83
Mg3 0.7279 0.3410 0.0000  14 B 2.58-2.83
Mg4 0.7721 0.8410 0.0000  14 B 2.58-2.83
V1 0.0000 0.5000 0.5000  8 B 2.26-2.30
V2 0.5000 0.0000 0.5000  8 B 2.26-2.30
B1 0.0312 0.3185 0.5000  4 B 1.66-1.75
B2 0.0685 0.9388 0.5000  4 B 1.67-1.79
B3 0.1268 0.7993 0.5000  5 B 1.66-1.76
B4 0.2301 0.3753 0.1984  4 B 1.66-1.79
B5 0.2301 0.3753 0.8016  4 B 1.66-1.79
B6 0.2699 0.8753 0.1984  4 B 1.66-1.79
B7 0.2699 0.8753 0.8016  4 B 1.66-1.79
B8 0.3732 0.2993 0.5000  5 B 1.66-1.76
B9 0.4315 0.4388 0.5000  4 B 1.67-1.79
B10 0.4688 0.8185 0.5000  4 B 1.66-1.75
B11 0.5312 0.1815 0.5000  4 B 1.66-1.75
B12 0.5685 0.5612 0.5000  4 B 1.67-1.79
B13 0.6268 0.7007 0.5000  5 B 1.66-1.76
B14 0.7301 0.1247 0.1984  4 B 1.66-1.79
B15 0.7301 0.1247 0.8016  4 B 1.66-1.79
B16 0.7699 0.6247 0.1984  4 B 1.66-1.79
B17 0.7699 0.6247 0.8016  4 B 1.66-1.79
B18 0.8732 0.2007 0.5000  5 B 1.66-1.76
B19 0.9315 0.0612 0.5000  4 B 1.67-1.79
B20 0.9688 0.6815 0.5000  4 B 1.66-1.75

8.
Density functional theory data (PBE) for crystalline H2IrPdI at its relaxed geometry.

Computed properties:
The space-group type is P4/mmm (123). The calculation puts the total energy at -3.990 eV/atom. Its total magnetic moment is 0.0 Bohr magnetons per cell.

Lattice parameters (Å, degrees): 3.7198 3.7198 5.3396 90.00 90.00 90.00
With the nearest neighbours (Å) after each atom.
Fractional positions:
H1 0.0000 0.5000 0.0000  2 Ir 1.86
H2 0.5000 0.0000 0.0000  2 Ir 1.86
Ir1 0.0000 0.0000 0.0000  4 H 1.86
Pd1 0.5000 0.5000 0.5000  4 I 2.63
I1 0.0000 0.0000 0.5000  4 Pd 2.63, 2 Ir 2.67

9.
Density functional theory data (PBE) for crystalline RbLi2Co at its relaxed geometry.

Computed properties:
The space-group type is I-42d (122). The value obtained for the formation energy is 0.771 eV per atom. The calculation puts the total energy at -2.205 eV/atom. Its total magnetic moment is 3.4 Bohr magnetons per cell.

Lattice parameters (Å, degrees): 9.4417 9.4417 9.4417 145.21 145.21 50.03
With the nearest neighbours (Å) after each atom.
Fractional positions:
Rb1 0.0000 0.0000 0.0000  8 Li 3.80-3.82, 4 Co 3.99
Rb2 0.7500 0.2500 0.5000  8 Li 3.80-3.82, 4 Co 3.99
Li1 0.3728 0.6250 0.2478  2 Co 2.56, 2 Li 2.82
Li2 0.3750 0.6228 0.7478  2 Co 2.56, 2 Li 2.82
Li3 0.3772 0.1250 0.7522  2 Co 2.56, 2 Li 2.82
Li4 0.8750 0.6272 0.2522  2 Co 2.56, 2 Li 2.82
Co1 0.2500 0.7500 0.5000  4 Li 2.56
Co2 0.5000 0.5000 0.0000  4 Li 2.56

10.
Density functional theory data (PBE) for crystalline CeZrBi2O at its relaxed geometry.

Computed properties:
The space-group type is P4/nmm (129). The calculation puts the total energy at -6.840 eV/atom. Its total magnetic moment is 1.0 Bohr magnetons per cell.

Lattice parameters (Å, degrees): 4.0245 4.0245 14.9611 90.00 90.00 90.00
With the nearest neighbours (Å) after each atom.
Fractional positions:
Ce1 0.2500 0.2500 0.0798  4 O 2.34
Ce2 0.7500 0.7500 0.9202  4 O 2.34
Zr1 0.2500 0.2500 0.5687  6 Bi 3.03-3.20
Zr2 0.7500 0.7500 0.4313  6 Bi 3.03-3.20
Bi1 0.2500 0.2500 0.3619  5 Zr 3.03-3.10
Bi2 0.2500 0.2500 0.7825  1 Zr 3.20, 4 Ce 3.51, 4 Bi 3.57
Bi3 0.7500 0.7500 0.2175  1 Zr 3.20, 4 Ce 3.51, 4 Bi 3.57
Bi4 0.7500 0.7500 0.6381  5 Zr 3.03-3.10
O1 0.2500 0.7500 0.0000  4 Ce 2.34
O2 0.7500 0.2500 0.0000  4 Ce 2.34

11.
Density functional theory data (PBE) for crystalline Ba5SrCa5 at its relaxed geometry.

Computed properties:
The space-group type is P-6m2 (187). The value obtained for the formation energy is 0.090 eV per atom. The calculation puts the total energy at -1.847 eV/atom. Its total magnetic moment is 0.2 Bohr magnetons per cell.

Lattice parameters (Å, degrees): 7.2236 7.2236 13.4946 90.00 90.00 120.00
With the nearest neighbours (Å) after each atom.
Fractional positions:
Ba1 0.0000 0.0000 0.0000  2 Ca 3.63
Ba2 0.3333 0.6667 0.3247  9 Ca 4.24-4.32, 1 Sr 4.38, 4 Ba 4.59-4.73
Ba3 0.3333 0.6667 0.6753  9 Ca 4.24-4.32, 1 Sr 4.38, 4 Ba 4.59-4.73
Ba4 0.6667 0.3333 0.1831  6 Ca 4.33-4.75, 6 Ba 4.59-4.85, 3 Sr 4.85
Ba5 0.6667 0.3333 0.8169  6 Ca 4.33-4.75, 6 Ba 4.59-4.85, 3 Sr 4.85
Sr1 0.3333 0.6667 0.0000  5 Ba 4.17-4.38
Ca1 0.0000 0.0000 0.2690  1 Ba 3.63, 3 Ca 3.76
Ca2 0.0000 0.0000 0.7310  1 Ba 3.63, 3 Ca 3.76
Ca3 0.3369 0.1684 0.5000  6 Ca 3.57-3.76
Ca4 0.8316 0.1684 0.5000  6 Ca 3.57-3.76
Ca5 0.8316 0.6631 0.5000  6 Ca 3.57-3.76

12.
Density functional theory data (PBE) for crystalline TcSbPt2 at its relaxed geometry.

Computed properties:
The space-group type is Cmmm (65). The calculation puts the total energy at -6.601 eV/atom. Its total magnetic moment is 0.0 Bohr magnetons per cell.

Lattice parameters (Å, degrees): 4.9170 4.9170 3.0314 90.00 90.00 112.71
With the nearest neighbours (Å) after each atom.
Fractional positions:
Tc1 0.0000 0.0000 0.0000  2 Sb 2.72, 8 Pt 2.89, 2 Tc 3.03
Sb1 0.5000 0.5000 0.0000  2 Tc 2.72, 8 Pt 2.89, 2 Sb 3.03
Pt1 0.0000 0.5000 0.5000  4 Pt 2.72-3.03, 4 Tc 2.89, 4 Sb 2.89
Pt2 0.5000 0.0000 0.5000  4 Pt 2.72-3.03, 4 Sb 2.89, 4 Tc 2.89

Copy entry 10 word for word.
Density functional theory data (PBE) for crystalline CeZrBi2O at its relaxed geometry.

Computed properties:
The space-group type is P4/nmm (129). The calculation puts the total energy at -6.840 eV/atom. Its total magnetic moment is 1.0 Bohr magnetons per cell.

Lattice parameters (Å, degrees): 4.0245 4.0245 14.9611 90.00 90.00 90.00
With the nearest neighbours (Å) after each atom.
Fractional positions:
Ce1 0.2500 0.2500 0.0798  4 O 2.34
Ce2 0.7500 0.7500 0.9202  4 O 2.34
Zr1 0.2500 0.2500 0.5687  6 Bi 3.03-3.20
Zr2 0.7500 0.7500 0.4313  6 Bi 3.03-3.20
Bi1 0.2500 0.2500 0.3619  5 Zr 3.03-3.10
Bi2 0.2500 0.2500 0.7825  1 Zr 3.20, 4 Ce 3.51, 4 Bi 3.57
Bi3 0.7500 0.7500 0.2175  1 Zr 3.20, 4 Ce 3.51, 4 Bi 3.57
Bi4 0.7500 0.7500 0.6381  5 Zr 3.03-3.10
O1 0.2500 0.7500 0.0000  4 Ce 2.34
O2 0.7500 0.2500 0.0000  4 Ce 2.34

Q: Which of these has the highest total magnetic moment?
A: RbLi2Co